Record 1
Below is Cd2AgTe after structural relaxation, with properties calculated at the PBE-GGA level.

Cell and atoms, written as extended XYZ:
```
8
Lattice="4.1949 0.0000 0.0000 0.0000 4.7794 0.0000 0.0000 0.0000 9.5966" Properties=species:S:1:pos:R:3 pbc="T T T"
Cd 0.0000 0.0000 2.0034
Cd 0.0000 0.0000 7.5933
Cd 2.0975 2.3897 2.0034
Cd 2.0975 2.3897 7.5933
Ag 0.0000 2.3897 0.0000
Ag 2.0975 0.0000 0.0000
Te 0.0000 2.3897 4.7983
Te 2.0975 0.0000 4.7983
```

Computed properties:
M_tot   0.00 μB per atom
ΔE_f (raw)   1.7 kcal/mol of atoms
Crystal system   orthorhombic
Space-group type   Cmmm, No. 65
N(E_F)   0.498 states/eV per atom

=====

Record 2
Below is Cd2Ag2Te after structural relaxation, with properties calculated at the PBE-GGA level.

Cell and atoms, written as extended XYZ:
```
10
Lattice="7.4980 0.0000 0.0000 0.0000 7.4980 0.0000 0.0000 0.0000 4.1039" Properties=species:S:1:pos:R:3 pbc="T T T"
Cd 1.1725 2.5764 0.0000
Cd 2.5764 6.3254 0.0000
Cd 4.9215 1.1725 0.0000
Cd 6.3254 4.9215 0.0000
Ag 1.0111 4.7600 2.0519
Ag 2.7379 1.0111 2.0519
Ag 4.7600 6.4869 2.0519
Ag 6.4869 2.7379 2.0519
Te 0.0000 0.0000 2.0519
Te 3.7490 3.7490 2.0519
```

Computed properties:
M_tot   0.00 μB per atom
ΔE_f (raw)   1.3 kcal/mol of atoms
Polymorph energy (0 for the lowest one)   54.3 meV per atom
Crystal system   tetragonal
Space-group type   P4/mbm, No. 127
N(E_F)   0.439 states/eV per atom

=====

Record 3
Below is CdAg2Te2 after structural relaxation, with properties calculated at the PBE-GGA level.

Cell and atoms, written as extended XYZ:
```
10
Lattice="4.0983 0.0000 0.0000 0.0000 4.0983 0.0000 0.0000 0.0000 15.4644" Properties=species:S:1:pos:R:3 pbc="T T T"
Cd 0.0000 0.0000 0.0000
Cd 2.0491 2.0491 7.7322
Ag 0.0000 2.0491 3.8661
Ag 0.0000 2.0491 11.5983
Ag 2.0491 0.0000 3.8661
Ag 2.0491 0.0000 11.5983
Te 0.0000 0.0000 5.9316
Te 0.0000 0.0000 9.5328
Te 2.0491 2.0491 1.8006
Te 2.0491 2.0491 13.6638
```

Computed properties:
M_tot   0.00 μB per atom
ΔE_f (raw)   0.3 kcal/mol of atoms
Polymorph energy (0 for the lowest one)   0.0 meV per atom
Crystal system   tetragonal
Space-group type   I4/mmm, No. 139
N(E_F)   0.524 states/eV per atom